# 1
Computed, not measured: crystalline Co2CuNi at its relaxed geometry at the GGA-PBE level of DFT.

Cell lengths 3.483, 3.502, 3.669 Å; angles 90.00, 90.00, 90.00 degrees
Element x y z (fractional)
Co (0.000, 0.000, 0.000)
Co (0.500, 0.500, 0.000)
Cu (0.000, 0.500, 0.500)
Ni (0.500, 0.000, 0.500)

Output
Energy of formation from the pure elements (eV/atom): 0.11

# 2
Computed, not measured: crystalline ZnFe2Sb at its relaxed geometry at the GGA-PBE level of DFT.

Cell lengths 3.965, 5.120, 5.120 Å; angles 36.45, 90.00, 90.00 degrees
Element x y z (fractional)
Zn (0.000, 0.000, 0.000)
Fe (0.000, 0.710, 0.710)
Fe (0.500, 0.575, 0.575)
Sb (0.500, 0.303, 0.303)

Output
Formation energy from raw total energies (eV per formula unit): 0.8

# 3
Computed, not measured: crystalline Cs2CeCuF6 at its relaxed geometry at the GGA-PBE level of DFT.

Cell lengths 7.108, 8.484, 7.111 Å; angles 90.00, 90.00, 90.00 degrees
Element x y z (fractional)
Cs (0.250, 0.000, 0.248)
Cs (0.250, 0.500, 0.248)
Cs (0.750, 0.000, 0.752)
Cs (0.750, 0.500, 0.752)
Ce (0.250, 0.250, 0.748)
Ce (0.750, 0.750, 0.252)
Cu (0.250, 0.750, 0.748)
Cu (0.750, 0.250, 0.252)
F (0.024, 0.250, 0.523)
F (0.024, 0.250, 0.974)
F (0.250, 0.527, 0.749)
F (0.250, 0.973, 0.749)
F (0.476, 0.250, 0.523)
F (0.476, 0.250, 0.974)
F (0.524, 0.750, 0.026)
F (0.524, 0.750, 0.477)
F (0.750, 0.027, 0.251)
F (0.750, 0.473, 0.251)
F (0.976, 0.750, 0.026)
F (0.976, 0.750, 0.477)

Output
Formation energy from raw total energies (eV per formula unit): -28.7

# 4
Computed, not measured: crystalline PmLuZnNi at its relaxed geometry at the GGA-PBE level of DFT.

Cell lengths 4.927, 4.927, 4.927 Å; angles 60.00, 60.00, 60.00 degrees
Element x y z (fractional)
Pm (0.000, 0.000, 0.000)
Lu (0.500, 0.500, 0.500)
Zn (0.750, 0.750, 0.750)
Ni (0.250, 0.250, 0.250)

Output
Energy of formation from the pure elements (eV/atom): -0.32

# 5
Computed, not measured: crystalline RbAgSbS2 at its relaxed geometry at the GGA-PBE level of DFT.

Cell lengths 7.625, 4.596, 8.342 Å; angles 90.00, 97.16, 90.00 degrees
Element x y z (fractional)
Rb (0.000, 0.125, 0.250)
Rb (0.000, 0.875, 0.750)
Ag (0.500, 0.000, 0.000)
Ag (0.500, 0.000, 0.500)
Sb (0.500, 0.487, 0.750)
Sb (0.500, 0.513, 0.250)
S (0.264, 0.371, 0.974)
S (0.264, 0.629, 0.474)
S (0.736, 0.371, 0.526)
S (0.736, 0.629, 0.026)

Output
Formation energy from raw total energies (eV per formula unit): -1.9

# 6
Computed, not measured: crystalline Cs3Ag2I4Cl2 at its relaxed geometry at the GGA-PBE level of DFT.

Cell lengths 15.698, 15.698, 15.698 Å; angles 159.31, 159.31, 29.42 degrees
Element x y z (fractional)
Cs (0.000, 0.000, 0.000)
Cs (0.189, 0.189, 0.000)
Cs (0.811, 0.811, 0.000)
Ag (0.387, 0.387, 0.000)
Ag (0.613, 0.613, 0.000)
I (0.090, 0.590, 0.500)
I (0.410, 0.910, 0.500)
I (0.590, 0.090, 0.500)
I (0.910, 0.410, 0.500)
Cl (0.301, 0.301, 0.000)
Cl (0.699, 0.699, 0.000)

Output
Formation energy from raw total energies (eV per formula unit): -11.6

# 7
Computed, not measured: crystalline YPdPt2 at its relaxed geometry at the GGA-PBE level of DFT.

Cell lengths 10.045, 10.045, 10.045 Å; angles 156.99, 156.99, 32.76 degrees
Element x y z (fractional)
Y (0.000, 0.000, 0.000)
Y (0.750, 0.250, 0.500)
Pd (0.250, 0.750, 0.500)
Pd (0.500, 0.500, 0.000)
Pt (0.144, 0.625, 0.019)
Pt (0.375, 0.394, 0.519)
Pt (0.606, 0.125, 0.981)
Pt (0.875, 0.856, 0.481)

Output
Energy of formation from the pure elements (eV/atom): -0.57

# 8
Computed, not measured: crystalline MnReB2Pt at its relaxed geometry at the GGA-PBE level of DFT.

Cell lengths 4.046, 4.046, 4.745 Å; angles 90.00, 90.00, 90.00 degrees
Element x y z (fractional)
Mn (0.000, 0.000, 0.000)
Re (0.000, 0.000, 0.500)
B (0.000, 0.500, 0.500)
B (0.500, 0.000, 0.500)
Pt (0.500, 0.500, 0.000)

Output
Energy of formation from the pure elements (eV/atom): 1.28